[1]
Density functional theory data (PBE) for an optimized crystal structure of Ho8Te4P3C.

Output
- density (Mg/m³) = 8.136
- VASP energy (eV per atom) = -6.035

a b c (Å): 8.398 8.398 8.398
angles (deg): 57.52 57.52 57.52
Positions (direct):
Ho1 0.237 0.237 0.237
Ho2 0.256 0.723 0.723
Ho3 0.277 0.277 0.744
Ho4 0.277 0.744 0.277
Ho5 0.723 0.256 0.723
Ho6 0.723 0.723 0.256
Ho7 0.744 0.277 0.277
Ho8 0.763 0.763 0.763
Te1 0.000 0.000 0.000
Te2 0.000 0.500 0.500
Te3 0.500 0.000 0.500
Te4 0.500 0.500 0.000
P1 0.000 0.000 0.500
P2 0.000 0.500 0.000
P3 0.500 0.000 0.000
C1 0.500 0.500 0.500

***

[2]
Density functional theory data (PBE) for an optimized crystal structure of Rb2MgSi.

Output
- density (Mg/m³) = 1.578
- VASP energy (eV per atom) = -2.012

a b c (Å): 13.714 13.714 4.998
angles (deg): 90.00 90.00 90.00
Positions (direct):
Rb1 0.053 0.750 0.125
Rb2 0.250 0.053 0.875
Rb3 0.250 0.447 0.375
Rb4 0.447 0.750 0.625
Rb5 0.553 0.250 0.625
Rb6 0.750 0.553 0.375
Rb7 0.750 0.947 0.875
Rb8 0.947 0.250 0.125
Mg1 0.000 0.000 0.500
Mg2 0.000 0.500 0.750
Mg3 0.500 0.000 0.250
Mg4 0.500 0.500 0.000
Si1 0.000 0.000 0.000
Si2 0.000 0.500 0.250
Si3 0.500 0.000 0.750
Si4 0.500 0.500 0.500

***

[3]
Density functional theory data (PBE) for an optimized crystal structure of Na3ZrRh.

Output
- density (Mg/m³) = 3.145
- VASP energy (eV per atom) = -2.858
- polymorph energy (0 for the lowest one) (meV/atom) = 0

a b c (Å): 5.179 5.179 5.179
angles (deg): 90.00 90.00 90.00
Positions (direct):
Na1 0.000 0.000 0.500
Na2 0.000 0.500 0.000
Na3 0.500 0.000 0.000
Zr1 0.500 0.500 0.500
Rh1 0.000 0.000 0.000

***

[4]
Density functional theory data (PBE) for an optimized crystal structure of DySc7Hg4.

Output
- density (Mg/m³) = 7.391
- VASP energy (eV per atom) = -4.243

a b c (Å): 7.441 7.441 9.179
angles (deg): 119.66 119.66 41.83
Positions (direct):
Dy1 0.000 0.000 0.000
Sc1 0.068 0.068 0.413
Sc2 0.210 0.210 0.883
Sc3 0.264 0.264 0.313
Sc4 0.500 0.500 0.000
Sc5 0.736 0.736 0.687
Sc6 0.790 0.790 0.117
Sc7 0.932 0.932 0.587
Hg1 0.313 0.313 0.664
Hg2 0.449 0.449 0.273
Hg3 0.551 0.551 0.727
Hg4 0.687 0.687 0.336

***

[5]
Density functional theory data (PBE) for an optimized crystal structure of BaSrSe2.

Output
- density (Mg/m³) = 4.764
- VASP energy (eV per atom) = -4.537
- polymorph energy (0 for the lowest one) (meV/atom) = 157

a b c (Å): 4.853 4.273 12.872
angles (deg): 90.00 90.00 90.00
Positions (direct):
Ba1 0.000 0.000 0.000
Ba2 0.000 0.500 0.500
Sr1 0.500 0.000 0.746
Sr2 0.500 0.500 0.246
Se1 0.000 0.000 0.260
Se2 0.000 0.500 0.760
Se3 0.500 0.000 0.511
Se4 0.500 0.500 0.011

***

[6]
Density functional theory data (PBE) for an optimized crystal structure of Na4La3SnTe8.

Output
- density (Mg/m³) = 4.964
- VASP energy (eV per atom) = -4.234

a b c (Å): 9.205 9.205 9.205
angles (deg): 59.98 59.98 59.98
Positions (direct):
Na1 0.000 0.000 0.000
Na2 0.000 0.500 0.500
Na3 0.500 0.000 0.500
Na4 0.500 0.500 0.000
La1 0.000 0.000 0.500
La2 0.000 0.500 0.000
La3 0.500 0.000 0.000
Sn1 0.500 0.500 0.500
Te1 0.247 0.247 0.247
Te2 0.256 0.741 0.741
Te3 0.259 0.259 0.744
Te4 0.259 0.744 0.259
Te5 0.741 0.256 0.741
Te6 0.741 0.741 0.256
Te7 0.744 0.259 0.259
Te8 0.753 0.753 0.753

***

[7]
Density functional theory data (PBE) for an optimized crystal structure of Dy4CdPtAu2.

Output
- density (Mg/m³) = 11.979
- VASP energy (eV per atom) = -4.824

a b c (Å): 8.863 8.863 8.863
angles (deg): 33.35 33.35 33.35
Positions (direct):
Dy1 0.117 0.117 0.117
Dy2 0.369 0.369 0.369
Dy3 0.631 0.631 0.631
Dy4 0.883 0.883 0.883
Cd1 0.500 0.500 0.500
Pt1 0.000 0.000 0.000
Au1 0.239 0.239 0.239
Au2 0.761 0.761 0.761

***

[8]
Density functional theory data (PBE) for an optimized crystal structure of Ac4CdIn.

Output
- density (Mg/m³) = 7.472
- VASP energy (eV per atom) = -3.406
- polymorph energy (0 for the lowest one) (meV/atom) = 162

a b c (Å): 9.760 9.760 9.760
angles (deg): 33.50 33.50 33.50
Positions (direct):
Ac1 0.124 0.124 0.124
Ac2 0.374 0.374 0.374
Ac3 0.626 0.626 0.626
Ac4 0.876 0.876 0.876
Cd1 0.000 0.000 0.000
In1 0.500 0.500 0.500

***

[9]
Density functional theory data (PBE) for an optimized crystal structure of YHoEr.

Output
- density (Mg/m³) = 7.467
- VASP energy (eV per atom) = -5.177
- polymorph energy (0 for the lowest one) (meV/atom) = 0

a b c (Å): 4.996 4.994 7.909
angles (deg): 90.00 108.36 90.00
Positions (direct):
Y1 0.084 0.250 0.168
Y2 0.916 0.750 0.832
Ho1 0.416 0.250 0.832
Ho2 0.584 0.750 0.168
Er1 0.250 0.750 0.500
Er2 0.750 0.250 0.500

***

[10]
Density functional theory data (PBE) for an optimized crystal structure of RbHgO2.

Output
- density (Mg/m³) = 6.617
- VASP energy (eV per atom) = -3.004

a b c (Å): 3.581 3.581 21.566
angles (deg): 90.00 90.00 120.00
Positions (direct):
Rb1 0.000 0.000 0.000
Rb2 0.333 0.667 0.667
Rb3 0.667 0.333 0.333
Hg1 0.000 0.000 0.500
Hg2 0.333 0.667 0.167
Hg3 0.667 0.333 0.833
O1 0.000 0.000 0.117
O2 0.000 0.000 0.883
O3 0.333 0.667 0.550
O4 0.333 0.667 0.783
O5 0.667 0.333 0.217
O6 0.667 0.333 0.450

***

[11]
Density functional theory data (PBE) for an optimized crystal structure of ScIn2Cl8.

Output
- density (Mg/m³) = 2.425
- VASP energy (eV per atom) = -3.721

a b c (Å): 9.011 9.011 6.605
angles (deg): 94.40 94.40 45.67
Positions (direct):
Sc1 0.000 0.000 0.000
In1 0.148 0.148 0.455
In2 0.852 0.852 0.545
Cl1 0.133 0.133 0.832
Cl2 0.182 0.696 0.754
Cl3 0.288 0.288 0.388
Cl4 0.304 0.818 0.246
Cl5 0.696 0.182 0.754
Cl6 0.712 0.712 0.612
Cl7 0.818 0.304 0.246
Cl8 0.867 0.867 0.168

***

[12]
Density functional theory data (PBE) for an optimized crystal structure of SrCa2La2.

Output
- density (Mg/m³) = 3.336
- VASP energy (eV per atom) = -2.766
- polymorph energy (0 for the lowest one) (meV/atom) = 199

a b c (Å): 5.021 5.021 17.592
angles (deg): 90.00 90.00 90.00
Positions (direct):
Sr1 0.000 0.000 0.000
Sr2 0.500 0.500 0.500
Ca1 0.000 0.500 0.250
Ca2 0.000 0.500 0.750
Ca3 0.500 0.000 0.250
Ca4 0.500 0.000 0.750
La1 0.000 0.000 0.414
La2 0.000 0.000 0.586
La3 0.500 0.500 0.086
La4 0.500 0.500 0.914

***

[13]
Density functional theory data (PBE) for an optimized crystal structure of NaSr4N.

Output
- density (Mg/m³) = 2.346
- VASP energy (eV per atom) = -2.954
- polymorph energy (0 for the lowest one) (meV/atom) = 0

a b c (Å): 12.366 8.277 10.721
angles (deg): 90.00 90.00 90.00
Positions (direct):
Na1 0.181 0.250 0.186
Na2 0.319 0.750 0.686
Na3 0.681 0.250 0.314
Na4 0.819 0.750 0.814
Sr1 0.069 0.022 0.816
Sr2 0.069 0.478 0.816
Sr3 0.090 0.750 0.439
Sr4 0.227 0.250 0.563
Sr5 0.273 0.750 0.063
Sr6 0.410 0.250 0.939
Sr7 0.431 0.522 0.316
Sr8 0.431 0.978 0.316
Sr9 0.569 0.022 0.684
Sr10 0.569 0.478 0.684
Sr11 0.590 0.750 0.061
Sr12 0.727 0.250 0.937
Sr13 0.773 0.750 0.437
Sr14 0.910 0.250 0.561
Sr15 0.931 0.522 0.184
Sr16 0.931 0.978 0.184
N1 0.068 0.250 0.684
N2 0.432 0.750 0.184
N3 0.568 0.250 0.816
N4 0.932 0.750 0.316

***

[14]
Density functional theory data (PBE) for an optimized crystal structure of ScH2.

Output
- density (Mg/m³) = 2.969
- VASP energy (eV per atom) = -4.883

a b c (Å): 5.015 4.095 5.120
angles (deg): 90.00 91.97 90.00
Positions (direct):
Sc1 0.226 0.000 0.243
Sc2 0.274 0.500 0.757
Sc3 0.726 0.500 0.243
Sc4 0.774 0.000 0.757
H1 0.000 0.257 0.500
H2 0.000 0.743 0.500
H3 0.176 0.000 0.852
H4 0.324 0.500 0.148
H5 0.500 0.243 0.500
H6 0.500 0.757 0.500
H7 0.676 0.500 0.852
H8 0.824 0.000 0.148

***

[15]
Density functional theory data (PBE) for an optimized crystal structure of FeSi2Mo.

Output
- density (Mg/m³) = 5.985
- VASP energy (eV per atom) = -7.324

a b c (Å): 3.687 3.687 16.976
angles (deg): 90.00 90.00 90.00
Positions (direct):
Fe1 0.000 0.000 0.000
Fe2 0.000 0.500 0.250
Fe3 0.500 0.000 0.750
Fe4 0.500 0.500 0.500
Si1 0.227 0.250 0.125
Si2 0.250 0.727 0.375
Si3 0.250 0.773 0.875
Si4 0.273 0.250 0.625
Si5 0.727 0.750 0.625
Si6 0.750 0.227 0.875
Si7 0.750 0.273 0.375
Si8 0.773 0.750 0.125
Mo1 0.000 0.000 0.500
Mo2 0.000 0.500 0.750
Mo3 0.500 0.000 0.250
Mo4 0.500 0.500 0.000

***

[16]
Density functional theory data (PBE) for an optimized crystal structure of MoRuW2.

Output
- density (Mg/m³) = 15.035
- VASP energy (eV per atom) = -11.390
- polymorph energy (0 for the lowest one) (meV/atom) = 0

a b c (Å): 3.194 4.460 8.756
angles (deg): 90.00 90.00 90.00
Positions (direct):
Mo1 0.000 0.000 0.000
Mo2 0.500 0.500 0.000
Ru1 0.000 0.000 0.500
Ru2 0.500 0.500 0.500
W1 0.000 0.500 0.255
W2 0.000 0.500 0.745
W3 0.500 0.000 0.255
W4 0.500 0.000 0.745

***

[17]
Density functional theory data (PBE) for an optimized crystal structure of NdSm3Er8.

Output
- density (Mg/m³) = 8.339
- VASP energy (eV per atom) = -4.604

a b c (Å): 8.439 8.439 8.439
angles (deg): 100.01 95.91 136.32
Positions (direct):
Nd1 0.000 0.000 0.000
Sm1 0.413 0.664 0.750
Sm2 0.500 0.000 0.500
Sm3 0.914 0.664 0.250
Er1 0.418 0.000 0.083
Er2 0.418 0.335 0.418
Er3 0.497 0.329 0.832
Er4 0.497 0.665 0.168
Er5 0.916 0.000 0.582
Er6 0.916 0.335 0.917
Er7 0.997 0.330 0.333
Er8 0.997 0.664 0.667

***

[18]
Density functional theory data (PBE) for an optimized crystal structure of MgHg2F6.

Output
- density (Mg/m³) = 6.394
- VASP energy (eV per atom) = -3.585
- polymorph energy (0 for the lowest one) (meV/atom) = 16

a b c (Å): 5.749 5.811 9.833
angles (deg): 90.00 121.47 90.00
Positions (direct):
Mg1 0.000 0.000 0.000
Mg2 0.000 0.500 0.500
Hg1 0.310 0.065 0.779
Hg2 0.310 0.435 0.279
Hg3 0.690 0.565 0.721
Hg4 0.690 0.935 0.221
F1 0.058 0.115 0.206
F2 0.058 0.385 0.706
F3 0.260 0.733 0.114
F4 0.260 0.767 0.614
F5 0.332 0.170 0.041
F6 0.332 0.330 0.541
F7 0.668 0.670 0.459
F8 0.668 0.830 0.959
F9 0.740 0.233 0.386
F10 0.740 0.267 0.886
F11 0.942 0.615 0.294
F12 0.942 0.885 0.794

***

[19]
Density functional theory data (PBE) for an optimized crystal structure of SrP2Ru.

Output
- density (Mg/m³) = 5.611
- VASP energy (eV per atom) = -5.121
- polymorph energy (0 for the lowest one) (meV/atom) = 1014

a b c (Å): 3.994 3.994 9.300
angles (deg): 90.00 90.00 90.00
Positions (direct):
Sr1 0.000 0.000 0.000
Sr2 0.500 0.500 0.500
P1 0.000 0.000 0.500
P2 0.000 0.500 0.750
P3 0.500 0.000 0.250
P4 0.500 0.500 0.000
Ru1 0.000 0.500 0.250
Ru2 0.500 0.000 0.750

***

[20]
Density functional theory data (PBE) for an optimized crystal structure of LiHfSe3.

Output
- density (Mg/m³) = 4.987
- VASP energy (eV per atom) = -5.269
- polymorph energy (0 for the lowest one) (meV/atom) = 194

a b c (Å): 5.200 5.200 5.200
angles (deg): 90.00 90.00 90.00
Positions (direct):
Li1 0.000 0.000 0.000
Hf1 0.500 0.500 0.500
Se1 0.000 0.500 0.500
Se2 0.500 0.000 0.500
Se3 0.500 0.500 0.000

***

[21]
Density functional theory data (PBE) for an optimized crystal structure of NaMnBe2Hg.

Output
- density (Mg/m³) = 5.063
- VASP energy (eV per atom) = -2.932

a b c (Å): 4.367 4.367 5.099
angles (deg): 90.00 90.00 90.00
Positions (direct):
Na1 0.000 0.000 0.000
Mn1 0.500 0.500 0.500
Be1 0.000 0.500 0.500
Be2 0.500 0.000 0.500
Hg1 0.500 0.500 0.000

***

[22]
Density functional theory data (PBE) for an optimized crystal structure of BaCd4Hg6.

Output
- density (Mg/m³) = 9.280
- VASP energy (eV per atom) = -0.767
- polymorph energy (0 for the lowest one) (meV/atom) = 62

a b c (Å): 7.683 7.683 7.683
angles (deg): 120.06 120.06 89.89
Positions (direct):
Ba1 0.000 0.000 0.000
Cd1 0.252 0.252 0.673
Cd2 0.421 0.748 0.000
Cd3 0.579 0.579 0.327
Cd4 0.748 0.421 0.000
Hg1 0.000 0.500 0.500
Hg2 0.106 0.498 0.000
Hg3 0.498 0.106 0.000
Hg4 0.500 0.000 0.500
Hg5 0.502 0.502 0.608
Hg6 0.894 0.894 0.392

***

[23]
Density functional theory data (PBE) for an optimized crystal structure of CsCr2SnBr8.

Output
- density (Mg/m³) = 3.648
- VASP energy (eV per atom) = -3.902

a b c (Å): 11.311 11.311 11.311
angles (deg): 36.25 36.25 36.25
Positions (direct):
Cs1 0.000 0.000 0.000
Cr1 0.246 0.246 0.246
Cr2 0.754 0.754 0.754
Sn1 0.500 0.500 0.500
Br1 0.111 0.435 0.771
Br2 0.229 0.565 0.889
Br3 0.321 0.321 0.321
Br4 0.435 0.771 0.111
Br5 0.565 0.889 0.229
Br6 0.679 0.679 0.679
Br7 0.771 0.111 0.435
Br8 0.889 0.229 0.565